(1)
Pm12Nd3Y GGA-PBE relaxed; ΔE_f = 0.013 eV/atom; calculated volume = 34.423 A^3/atom; calculated total energy = -77.57 eV for the cell shown; total magnetic moment = 0.00 μB/f.u.
1.0
5.165 0.000 0.000
0.000 5.165 0.000
0.000 0.000 20.649
Pm Nd Y
12 3 1
direct
0.500 0.500 0.751
0.000 0.500 0.876
0.500 0.000 0.625
0.000 0.500 0.124
0.500 0.500 0.500
0.500 0.500 0.000
0.500 0.000 0.124
0.500 0.500 0.249
0.500 0.000 0.375
0.000 0.500 0.625
0.000 0.500 0.375
0.500 0.000 0.876
0.000 0.000 0.751
0.000 0.000 0.249
0.000 0.000 0.500
0.000 0.000 0.000

=====

(2)
Ag4Sn2Se5Cl GGA-PBE relaxed; calculated volume = 25.962 A^3/atom; formation energy from raw total energies = -0.235 eV per atom; calculated total energy = -41.50 eV for the cell shown; total magnetic moment = 0.00 μB/f.u.
1.0
6.803 0.000 0.000
-3.401 5.944 0.000
0.000 0.000 7.705
Se Sn Ag Cl
5 2 4 1
direct
0.699 0.628 0.754
0.072 0.372 0.754
0.072 0.372 0.246
0.699 0.628 0.246
0.382 0.000 0.500
0.982 0.615 0.500
0.367 0.385 0.500
0.679 0.000 0.728
0.998 0.627 0.000
0.679 0.000 0.272
0.371 0.373 0.000
0.405 0.000 0.000

=====

(3)
Sr2CuTe GGA-PBE relaxed; calculated volume = 35.677 A^3/atom; formation energy from raw total energies = -0.696 eV per atom; calculated total energy = -13.39 eV for the cell shown; total magnetic moment = 0.00 μB/f.u.
1.0
4.665 0.000 0.000
0.000 4.665 0.000
0.000 0.000 6.557
Sr Cu Te
2 1 1
direct
0.500 0.500 0.375
0.000 0.000 0.875
0.500 0.500 0.875
0.000 0.000 0.375

=====

(4)
LiCa7Cd4 GGA-PBE relaxed; ΔE_f = -0.136 eV/atom; calculated volume = 32.162 A^3/atom; calculated total energy = -21.21 eV for the cell shown; total magnetic moment = 0.00 μB/f.u.
1.0
-2.438 4.988 -1.739
-8.888 -1.709 -2.175
-4.478 3.293 5.992
Ca Cd Li
7 4 1
direct
0.720 0.327 0.233
0.071 0.609 0.249
0.500 0.000 0.000
0.929 0.391 0.751
0.788 0.883 0.541
0.212 0.117 0.459
0.280 0.673 0.767
0.550 0.251 0.648
0.450 0.749 0.352
0.317 0.343 0.022
0.683 0.657 0.978
0.000 0.000 0.000

=====

(5)
LiAgRu GGA-PBE relaxed; ΔE_f = 0.386 eV/atom; calculated volume = 15.215 A^3/atom; calculated total energy = -12.88 eV for the cell shown; total magnetic moment = 0.36 μB/f.u.
1.0
4.849 -0.003 0.000
2.312 4.262 0.000
-3.002 -3.102 2.208
Ag Li Ru
1 1 1
direct
0.001 0.001 0.000
0.333 0.333 0.000
0.666 0.666 0.000

=====

(6)
V2Cu2Pd GGA-PBE relaxed; ΔE_f = 0.266 eV/atom; calculated volume = 13.816 A^3/atom; calculated total energy = -60.59 eV for the cell shown; total magnetic moment = 0.00 μB/f.u.
1.0
-5.267 -4.913 0.509
4.908 -5.121 1.350
-0.205 0.489 2.597
V Cu Pd
4 4 2
direct
0.615 0.115 0.000
0.115 0.385 0.000
0.885 0.615 0.000
0.385 0.885 0.000
0.321 0.179 0.500
0.821 0.321 0.500
0.679 0.821 0.500
0.179 0.679 0.500
0.000 0.000 0.000
0.500 0.500 0.000

=====

(7)
YBe5Au7 GGA-PBE relaxed; ΔE_f = -0.289 eV/atom; calculated volume = 15.110 A^3/atom; calculated total energy = -51.80 eV for the cell shown; total magnetic moment = 0.00 μB/f.u.
1.0
-3.989 3.034 0.437
-5.778 -3.258 -1.171
-2.453 0.041 6.273
Be Au Y
5 7 1
direct
0.732 0.768 0.768
0.011 0.990 0.497
0.502 0.990 0.497
0.011 0.497 0.990
0.502 0.497 0.990
0.530 0.777 0.162
0.320 0.680 0.680
0.273 0.227 0.227
0.530 0.162 0.777
0.973 0.366 0.687
0.973 0.687 0.366
0.650 0.350 0.350
0.992 0.008 0.008

=====

(8)
BaTl4Au GGA-PBE relaxed; ΔE_f = -0.254 eV/atom; calculated volume = 30.967 A^3/atom; calculated total energy = -32.38 eV for the cell shown; total magnetic moment = 0.00 μB/f.u.
1.0
-1.683 -0.046 -4.643
-6.989 -4.671 2.579
-4.297 7.249 1.486
Ba Au Tl
2 2 8
direct
0.000 0.371 0.250
0.000 0.629 0.750
0.000 0.749 0.250
0.000 0.251 0.750
0.500 0.310 0.942
0.500 0.690 0.058
0.500 0.049 0.250
0.000 0.000 0.500
0.000 0.000 0.000
0.500 0.690 0.442
0.500 0.951 0.750
0.500 0.310 0.558

=====

(9)
CaCoRh2 GGA-PBE relaxed; ΔE_f = 0.180 eV/atom; calculated volume = 16.048 A^3/atom; calculated total energy = -23.09 eV for the cell shown; total magnetic moment = 2.63 μB/f.u.
1.0
-0.559 -2.014 4.483
4.372 -1.341 1.884
-1.634 4.213 -2.011
Rh Ca Co
2 1 1
direct
0.000 0.000 0.000
0.250 0.750 0.500
0.500 0.500 0.000
0.750 0.250 0.500

=====

(10)
MgZrGeO5 GGA-PBE relaxed; calculated volume = 12.779 A^3/atom; formation energy from raw total energies = -2.458 eV per atom; calculated total energy = -118.43 eV for the cell shown; total magnetic moment = 0.00 μB/f.u.
1.0
-2.062 -5.136 0.301
4.390 -0.180 -3.379
3.117 0.992 6.799
Mg O Ge Zr
2 10 2 2
direct
0.668 0.332 0.750
0.332 0.668 0.250
0.389 0.285 0.075
0.946 0.346 0.154
0.285 0.389 0.575
0.103 0.897 0.250
0.897 0.103 0.750
0.654 0.054 0.346
0.715 0.611 0.425
0.611 0.715 0.925
0.054 0.654 0.846
0.346 0.946 0.654
0.679 0.321 0.250
0.321 0.679 0.750
0.000 0.000 0.000
0.000 0.000 0.500

=====

(11)
Ac2GaAu GGA-PBE relaxed; ΔE_f = -0.609 eV/atom; calculated volume = 30.040 A^3/atom; calculated total energy = -16.96 eV for the cell shown; total magnetic moment = 0.00 μB/f.u.
1.0
3.914 0.000 0.000
0.000 3.914 0.000
0.000 0.000 7.843
Ac Au Ga
2 1 1
direct
0.000 0.000 0.751
0.000 0.000 0.249
0.500 0.500 0.500
0.500 0.500 0.000

=====

(12)
YPu2UN4 GGA-PBE relaxed; calculated volume = 14.823 A^3/atom; formation energy from raw total energies = -1.392 eV per atom; calculated total energy = -90.86 eV for the cell shown; total magnetic moment = 11.30 μB/f.u.
1.0
-0.609 2.142 -2.674
-5.448 1.231 2.227
3.980 3.908 2.223
Pu Y N U
2 1 4 1
direct
0.500 0.000 0.500
0.000 0.500 0.500
0.000 0.000 0.000
0.500 0.263 0.242
0.000 0.736 0.235
0.000 0.264 0.765
0.500 0.737 0.758
0.500 0.500 0.000

=====

(13)
ZnGaFe3 GGA-PBE relaxed; ΔE_f = 0.064 eV/atom; calculated volume = 13.335 A^3/atom; calculated total energy = -117.48 eV for the cell shown; total magnetic moment = 6.62 μB/f.u.
1.0
-0.424 -3.548 1.832
6.717 0.865 3.229
-3.831 4.017 6.895
Fe Zn Ga
12 4 4
direct
0.000 0.941 0.187
0.500 0.750 0.180
0.500 0.059 0.313
0.000 0.059 0.813
0.500 0.941 0.687
0.000 0.559 0.187
0.500 0.250 0.820
0.500 0.559 0.687
0.500 0.441 0.313
0.000 0.750 0.680
0.000 0.441 0.813
0.000 0.250 0.320
0.000 0.000 0.500
0.500 0.500 0.000
0.500 0.000 0.000
0.000 0.500 0.500
0.500 0.750 0.453
0.500 0.250 0.547
0.000 0.250 0.047
0.000 0.750 0.953

=====

(14)
La3Zn6Ag5 GGA-PBE relaxed; ΔE_f = -0.276 eV/atom; calculated volume = 21.028 A^3/atom; calculated total energy = -40.55 eV for the cell shown; total magnetic moment = 0.00 μB/f.u.
1.0
4.391 0.000 1.201
1.559 7.939 2.926
0.010 0.457 8.592
Ag Zn La
5 6 3
direct
0.338 0.014 0.311
0.338 0.311 0.014
0.000 0.500 0.500
0.662 0.689 0.986
0.662 0.986 0.689
0.131 0.159 0.580
0.869 0.420 0.841
0.500 0.686 0.314
0.869 0.841 0.420
0.131 0.580 0.159
0.500 0.314 0.686
0.298 0.702 0.702
0.000 0.000 0.000
0.702 0.298 0.298

=====

(15)
LaMgFeAu2 GGA-PBE relaxed; ΔE_f = 0.711 eV/atom; calculated volume = 27.106 A^3/atom; calculated total energy = -17.98 eV for the cell shown; total magnetic moment = 2.41 μB/f.u.
1.0
-2.357 -3.888 -1.698
5.010 -2.349 -1.578
0.373 -2.125 4.347
Au Fe La Mg
2 1 1 1
direct
0.500 0.000 0.000
0.000 0.000 0.500
0.500 0.500 0.500
0.000 0.500 0.000
0.000 0.000 0.000